Entry one
DFT (PBE) results for a geometry-optimized Ca2Tl3Hg3 structure.

Fermi-level density of states	3.25	states/eV/f.u.
space group	R3m
crystal system	trigonal
magnetic moment	0.00	μB per formula unit

abc: 9.2764 9.2764 9.2764
angles: 33.57 33.57 33.57
Positions (direct):
1 Ca 0.0000 0.0000 0.0000
2 Ca 0.4918 0.4918 0.4918
3 Tl 0.2491 0.2491 0.2491
4 Tl 0.7434 0.7434 0.7434
5 Tl 0.8711 0.8711 0.8711
6 Hg 0.1232 0.1232 0.1232
7 Hg 0.3709 0.3709 0.3709
8 Hg 0.6194 0.6194 0.6194

---

Entry two
DFT (PBE) results for a geometry-optimized Ca2Tl3Hg3 structure.

Fermi-level density of states	5.17	states/eV/f.u.
space group	C2/m
crystal system	monoclinic
magnetic moment	0.00	μB per formula unit

abc: 8.0681 8.0681 5.7556
angles: 110.28 110.28 40.15
Positions (direct):
1 Ca 0.2474 0.2474 0.2482
2 Ca 0.7526 0.7526 0.7518
3 Tl 0.3823 0.3823 0.8844
4 Tl 0.5000 0.5000 0.5000
5 Tl 0.6177 0.6177 0.1156
6 Hg 0.0000 0.0000 0.0000
7 Hg 0.1307 0.1307 0.6299
8 Hg 0.8693 0.8693 0.3701

---

Stability summary - winner: entry one; margin: 0.062 eV/atom.

---

Entry one
DFT (PBE) results for a geometry-optimized Ca2Tl2Hg structure.

Fermi-level density of states	2.39	states/eV/f.u.
space group	Cmmm
crystal system	orthorhombic
magnetic moment	0.00	μB per formula unit

abc: 9.2906 9.2906 3.7114
angles: 90.00 90.00 152.93
Positions (direct):
1 Ca 0.0996 0.9004 0.0000
2 Ca 0.9004 0.0996 0.0000
3 Tl 0.3069 0.6931 0.5000
4 Tl 0.6931 0.3069 0.5000
5 Hg 0.5000 0.5000 0.5000

---

Entry two
DFT (PBE) results for a geometry-optimized Ca2Tl2Hg structure.

Fermi-level density of states	2.23	states/eV/f.u.
space group	I4/mmm
crystal system	tetragonal
magnetic moment	0.00	μB per formula unit

abc: 6.3216 6.3216 6.3216
angles: 122.02 122.02 86.54
Positions (direct):
1 Ca 0.2500 0.7500 0.5000
2 Ca 0.7500 0.2500 0.5000
3 Tl 0.1559 0.1559 0.0000
4 Tl 0.8441 0.8441 0.0000
5 Hg 0.5000 0.5000 0.0000

---

Entry three
DFT (PBE) results for a geometry-optimized Ca2Tl2Hg structure.

Fermi-level density of states	4.64	states/eV/f.u.
space group	I4/mmm
crystal system	tetragonal
magnetic moment	0.00	μB per formula unit

abc: 9.4474 9.4474 9.4474
angles: 153.96 153.96 37.16
Positions (direct):
1 Ca 0.0967 0.0967 0.0000
2 Ca 0.9033 0.9033 0.0000
3 Tl 0.2500 0.7500 0.5000
4 Tl 0.7500 0.2500 0.5000
5 Hg 0.5000 0.5000 0.0000

---

Entry four
DFT (PBE) results for a geometry-optimized Ca2Tl2Hg structure.

Fermi-level density of states	4.89	states/eV/f.u.
space group	P4/mbm
crystal system	tetragonal
magnetic moment	0.00	μB per formula unit

abc: 8.6988 8.6988 4.1270
angles: 90.00 90.00 90.00
Positions (direct):
1 Ca 0.1628 0.3372 0.0000
2 Ca 0.3372 0.8372 0.0000
3 Ca 0.6628 0.1628 0.0000
4 Ca 0.8372 0.6628 0.0000
5 Tl 0.1371 0.6371 0.5000
6 Tl 0.3629 0.1371 0.5000
7 Tl 0.6371 0.8629 0.5000
8 Tl 0.8629 0.3629 0.5000
9 Hg 0.0000 0.0000 0.0000
10 Hg 0.5000 0.5000 0.0000

---

Stability summary - winner: entry one; margin: 0.056 eV/atom.

---

Entry one
DFT (PBE) results for a geometry-optimized Ca2Tl2Hg structure.

Fermi-level density of states	1.86	states/eV/f.u.
space group	C2/m
crystal system	monoclinic
magnetic moment	0.00	μB per formula unit

abc: 6.3198 6.3198 13.1134
angles: 109.16 109.16 36.79
Positions (direct):
1 Ca 0.0194 0.0194 0.1829
2 Ca 0.1841 0.1841 0.6057
3 Ca 0.8159 0.8159 0.3943
4 Ca 0.9806 0.9806 0.8171
5 Tl 0.3510 0.3510 0.9729
6 Tl 0.4520 0.4520 0.6030
7 Tl 0.5480 0.5480 0.3970
8 Tl 0.6490 0.6490 0.0271
9 Hg 0.3004 0.3004 0.2027
10 Hg 0.6996 0.6996 0.7973

---

Entry two
DFT (PBE) results for a geometry-optimized Ca2Tl2Hg structure.

Fermi-level density of states	2.40	states/eV/f.u.
space group	P4/mbm
crystal system	tetragonal
magnetic moment	0.00	μB per formula unit

abc: 8.3236 8.3236 4.3158
angles: 90.00 90.00 90.00
Positions (direct):
1 Ca 0.1660 0.3340 0.0000
2 Ca 0.3340 0.8340 0.0000
3 Ca 0.6660 0.1660 0.0000
4 Ca 0.8340 0.6660 0.0000
5 Tl 0.1361 0.6361 0.5000
6 Tl 0.3639 0.1361 0.5000
7 Tl 0.6361 0.8639 0.5000
8 Tl 0.8639 0.3639 0.5000
9 Hg 0.0000 0.0000 0.5000
10 Hg 0.5000 0.5000 0.5000

---

Stability summary - winner: entry one; margin: 0.058 eV/atom.

---

Entry one
DFT (PBE) results for a geometry-optimized CaTl3Hg2 structure.

Fermi-level density of states	1.62	states/eV/f.u.
space group	P6/mmm
crystal system	hexagonal
magnetic moment	0.00	μB per formula unit

abc: 6.4404 6.4404 5.2090
angles: 90.00 90.00 120.00
Positions (direct):
1 Ca 0.0000 0.0000 0.0000
2 Tl 0.0000 0.5000 0.5000
3 Tl 0.5000 0.0000 0.5000
4 Tl 0.5000 0.5000 0.5000
5 Hg 0.3333 0.6667 0.0000
6 Hg 0.6667 0.3333 0.0000

---

Entry two
DFT (PBE) results for a geometry-optimized CaTl3Hg2 structure.

Fermi-level density of states	2.47	states/eV/f.u.
space group	C2/c
crystal system	monoclinic
magnetic moment	0.00	μB per formula unit

abc: 5.8857 5.8857 10.3518
angles: 92.54 92.54 103.82
Positions (direct):
1 Ca 0.1042 0.8958 0.7500
2 Ca 0.8958 0.1042 0.2500
3 Tl 0.1825 0.3355 0.9847
4 Tl 0.3355 0.1825 0.4847
5 Tl 0.4761 0.5239 0.7500
6 Tl 0.5239 0.4761 0.2500
7 Tl 0.6645 0.8175 0.5153
8 Tl 0.8175 0.6645 0.0153
9 Hg 0.0897 0.6463 0.3757
10 Hg 0.3537 0.9103 0.1243
11 Hg 0.6463 0.0897 0.8757
12 Hg 0.9103 0.3537 0.6243

---

Stability summary - winner: entry two; margin: 0.089 eV/atom.